(a)
First-principles (PBE) data for ScB3P after structural relaxation, as listed in the Alexandria database.

```
ScB3P
1.0
-1.4542 -2.6152 -3.2042
0.4303 -3.4737 2.6399
-4.1135 0.5612 1.4089
B P Sc
3 1 1
direct
0.0000 0.5000 0.0000
0.0000 0.0000 0.5000
0.5000 0.0000 0.0000
0.5000 0.5000 0.5000
0.0000 0.0000 0.0000
```

calculated volume	16.853	Å³/atom

(b)
First-principles (PBE) data for ScB3P after structural relaxation, as listed in the Alexandria database.

```
ScB3P
1.0
-0.2891 -2.2989 -3.0859
3.5681 0.9987 -1.0783
1.4411 -2.9341 2.0508
Sc B P
1 3 1
direct
0.5000 0.5000 0.5000
0.5000 0.0000 0.0000
0.0000 0.5000 0.0000
0.0000 0.0000 0.5000
0.0000 0.0000 0.0000
```

calculated volume	11.493	Å³/atom

Tell me which of them is the most stable. Sure, it is (b).